# PrNb2CoN4

A relaxed structure of PrNb2CoN4 (GGA-PBE, Alexandria via LeMat-Bulk).

* spin magnetization: 0.000 μB/atom
* formation energy without anion corrections: -20.65 kcal/mol of atoms
* E_tot: -9.061 eV per atom
* mass density: 7.75 g/cm³

Geometry as POSCAR:
```
PrNb2CoN4
1.0
3.2025 0.0000 0.0000
-1.6012 5.4328 0.0000
0.0000 0.0000 10.8764
Pr Nb Co N
2 4 2 8
Cartesian
0.0000 1.1602 8.1573
1.6012 4.2725 2.7191
0.0000 4.0052 6.0623
1.6012 1.4276 0.6241
1.6012 1.4276 4.8142
0.0000 4.0052 10.2524
1.6012 3.7093 8.1573
0.0000 1.7234 2.7191
0.0000 2.9317 1.2072
1.6012 2.5011 6.6454
1.6012 2.5011 9.6693
0.0000 2.9317 4.2311
0.0000 0.0000 5.4382
0.0000 0.0000 0.0000
0.0000 4.7712 8.1573
1.6012 0.6616 2.7191
```